Version P
8
Lattice="4.1041 0.0000 0.0409 0.0000 2.4608 0.0000 -0.2534 0.0000 11.0926" Properties=species:S:1:pos:R:3 comment="SiPC2 (PBE, optimized geometry)" space_group="Cm, No. 8" dos_at_fermi_per_ev_cell=2.0 pbc="T T T"
P 2.1608 0.0000 10.7304
P 2.2875 1.2304 5.1841
Si 0.5888 0.0000 1.0779
Si 0.4621 1.2304 6.6243
C 1.3586 0.0000 2.8383
C 1.2319 1.2304 8.3846
C 1.4494 0.0000 9.0292
C 1.5761 1.2304 3.4829

***

Version Q
8
Lattice="-2.9516 -2.9767 1.0374 -0.2367 -1.2078 -4.1393 1.5324 -4.9628 -0.8921" Properties=species:S:1:pos:R:3 comment="SiPC2 (PBE, optimized geometry)" space_group="I-42d, No. 122" dos_at_fermi_per_ev_cell=2.2 pbc="T T T"
P 0.0000 0.0000 0.0000
P -1.5067 -5.0159 -0.7028
Si -1.5941 -2.0923 -1.5510
Si -0.1492 -4.1315 -3.2912
C -1.5333 -3.2945 -0.0773
C -0.0917 -2.3253 -2.6952
C -0.0430 -5.2741 -1.7733
C -1.6439 -7.4008 -3.4422

***

Of the structures shown above, version Q is the most stable.